[1]
! CoNiAgAs | OQMD via LeMat-Bulk | GGA-PBE | relaxed; values from VASP
&SYSTEM
  ibrav = 0, nat = 4, ntyp = 4
/
ATOMIC_SPECIES
Co 58.93 Co.upf
Ni 58.69 Ni.upf
Ag 107.87 Ag.upf
As 74.92 As.upf
ATOMIC_POSITIONS angstrom
Co 0.000 0.000 0.000
Ni 3.008 3.008 3.008
Ag 1.504 1.504 1.504
As 4.513 4.513 4.513
CELL_PARAMETERS angstrom
0.000 3.008 3.008
3.008 0.000 3.008
3.008 3.008 0.000
! Total magnetization: 0.36 μB per atom
! Volume: 54.5 Å³/cell
! Symmetry: F-43m
! Distance to the lowest polymorph of the same formula: 0.0 meV per atom
! Density: 9.161 g cm⁻³



[2]
! SrNdSn | OQMD via LeMat-Bulk | GGA-PBE | relaxed; values from VASP
&SYSTEM
  ibrav = 0, nat = 12, ntyp = 3
/
ATOMIC_SPECIES
Sr 87.62 Sr.upf
Nd 144.24 Nd.upf
Sn 118.71 Sn.upf
ATOMIC_POSITIONS angstrom
Sr 0.000 0.000 0.000
Sr 0.000 0.000 4.068
Sr 0.000 0.000 8.135
Sr 0.000 0.000 12.203
Nd 0.000 3.164 1.663
Nd 0.000 3.164 6.472
Nd 2.740 1.582 9.799
Nd 2.740 1.582 14.608
Sn 0.000 3.164 9.908
Sn 0.000 3.164 14.498
Sn 2.740 1.582 1.773
Sn 2.740 1.582 6.362
CELL_PARAMETERS angstrom
5.480 0.000 0.000
-2.740 4.746 0.000
0.000 0.000 16.271
! Total magnetization: 0.24 μB per atom
! Volume: 423.1 Å³/cell
! Final energy: -3.93 eV/atom
! Symmetry: P6_3/mmc
! Density: 5.503 g cm⁻³



[3]
! Sr2ZnIBrO2 | OQMD via LeMat-Bulk | GGA-PBE | relaxed; values from VASP
&SYSTEM
  ibrav = 0, nat = 7, ntyp = 5
/
ATOMIC_SPECIES
Sr 87.62 Sr.upf
Zn 65.41 Zn.upf
I 126.90 I.upf
Br 79.90 Br.upf
O 16.00 O.upf
ATOMIC_POSITIONS angstrom
Sr 0.000 0.000 0.000
Sr 0.000 0.000 3.268
Zn 0.000 0.000 10.975
I 0.000 0.000 14.314
Br 0.000 0.000 8.008
O 2.054 0.000 1.654
O 0.000 2.054 1.654
CELL_PARAMETERS angstrom
-2.054 2.054 9.337
2.054 -2.054 9.337
2.054 2.054 -9.337
! Volume: 157.6 Å³/cell
! Final energy: -4.54 eV/atom
! Symmetry: I4mm
! Density: 5.051 g cm⁻³



[4]
! BaInHgAu | OQMD via LeMat-Bulk | GGA-PBE | relaxed; values from VASP
&SYSTEM
  ibrav = 0, nat = 4, ntyp = 4
/
ATOMIC_SPECIES
Ba 137.33 Ba.upf
In 114.82 In.upf
Hg 200.59 Hg.upf
Au 196.97 Au.upf
ATOMIC_POSITIONS angstrom
Ba 0.000 0.000 0.000
In 5.725 5.725 5.725
Hg 3.817 3.817 3.817
Au 1.908 1.908 1.908
CELL_PARAMETERS angstrom
0.000 3.817 3.817
3.817 0.000 3.817
3.817 3.817 0.000
! Volume: 111.2 Å³/cell
! Symmetry: F-43m
! Distance to the lowest polymorph of the same formula: 137.0 meV per atom
! Density: 9.700 g cm⁻³



[5]
! Cu3B3Pt4 | OQMD via LeMat-Bulk | GGA-PBE | relaxed; values from VASP
&SYSTEM
  ibrav = 0, nat = 20, ntyp = 3
/
ATOMIC_SPECIES
Cu 63.55 Cu.upf
B 10.81 B.upf
Pt 195.08 Pt.upf
ATOMIC_POSITIONS angstrom
Cu 5.874 0.979 0.000
Cu 2.937 0.000 1.958
Cu 1.958 2.937 0.000
Cu 0.000 1.958 2.937
Cu 0.979 0.000 5.874
Cu 0.000 5.874 0.979
B 3.916 -1.958 2.937
B 2.937 3.916 -1.958
B 3.916 1.958 0.979
B 1.958 0.979 3.916
B 0.979 3.916 1.958
B -1.958 2.937 3.916
Pt 3.328 0.588 -0.588
Pt 5.286 -1.370 1.370
Pt 0.588 0.588 0.588
Pt 0.588 -0.588 3.328
Pt -0.588 3.328 0.588
Pt 1.370 5.286 -1.370
Pt 2.546 2.546 2.546
Pt -1.370 1.370 5.286
CELL_PARAMETERS angstrom
-3.916 3.916 3.916
3.916 -3.916 3.916
3.916 3.916 -3.916
! Total magnetization: 0.00 μB per atom
! Volume: 240.2 Å³/cell
! Final energy: -5.72 eV/atom
! Symmetry: I-43d
! Density: 13.871 g cm⁻³



[6]
! LaHfNO | OQMD via LeMat-Bulk | GGA-PBE | relaxed; values from VASP
&SYSTEM
  ibrav = 0, nat = 8, ntyp = 4
/
ATOMIC_SPECIES
La 138.91 La.upf
Hf 178.49 Hf.upf
N 14.01 N.upf
O 16.00 O.upf
ATOMIC_POSITIONS angstrom
La 0.000 1.326 0.000
La 0.000 4.408 2.794
Hf 2.092 1.403 2.852
Hf 2.092 4.330 0.057
N 0.000 1.094 2.860
N 0.000 4.639 0.065
O 2.092 2.665 4.474
O 2.092 3.069 1.680
CELL_PARAMETERS angstrom
4.184 0.000 0.000
0.000 5.733 0.000
0.000 0.000 5.589
! Total magnetization: 0.00 μB per atom
! Volume: 134.1 Å³/cell
! Symmetry: Pmc2_1
! Distance to the lowest polymorph of the same formula: 8.7 meV per atom
! Density: 8.606 g cm⁻³



[7]
! HfHgPt | OQMD via LeMat-Bulk | GGA-PBE | relaxed; values from VASP
&SYSTEM
  ibrav = 0, nat = 6, ntyp = 3
/
ATOMIC_SPECIES
Hf 178.49 Hf.upf
Hg 200.59 Hg.upf
Pt 195.08 Pt.upf
ATOMIC_POSITIONS angstrom
Hf 0.000 0.000 0.000
Hf 1.757 1.757 4.538
Hg 0.000 0.000 2.933
Hg 0.000 0.000 6.142
Pt 1.757 1.757 1.431
Pt 1.757 1.757 7.644
CELL_PARAMETERS angstrom
3.513 0.000 0.000
0.000 3.513 0.000
0.000 0.000 9.075
! Total magnetization: 0.00 μB per atom
! Volume: 112.0 Å³/cell
! ΔH_f (0 K): -0.535 eV per atom
! Symmetry: P4/mmm
! Distance to the lowest polymorph of the same formula: 30.5 meV per atom
! Density: 17.024 g cm⁻³



[8]
! LiAlAgAu | OQMD via LeMat-Bulk | GGA-PBE | relaxed; values from VASP
&SYSTEM
  ibrav = 0, nat = 8, ntyp = 4
/
ATOMIC_SPECIES
Li 6.94 Li.upf
Al 26.98 Al.upf
Ag 107.87 Ag.upf
Au 196.97 Au.upf
ATOMIC_POSITIONS angstrom
Li 0.000 0.000 0.000
Li 2.230 2.230 3.151
Al 0.000 0.000 3.151
Al 2.230 2.230 0.000
Ag 0.000 2.230 4.718
Ag 2.230 0.000 1.583
Au 0.000 2.230 1.572
Au 2.230 0.000 4.729
CELL_PARAMETERS angstrom
4.459 0.000 0.000
0.000 4.459 0.000
0.000 0.000 6.301
! Volume: 125.3 Å³/cell
! Final energy: -3.37 eV/atom
! Symmetry: P-4m2
! Density: 8.979 g cm⁻³



[9]
! Er4AsSe3 | OQMD via LeMat-Bulk | GGA-PBE | relaxed; values from VASP
&SYSTEM
  ibrav = 0, nat = 8, ntyp = 3
/
ATOMIC_SPECIES
Er 167.26 Er.upf
As 74.92 As.upf
Se 78.96 Se.upf
ATOMIC_POSITIONS angstrom
Er 0.000 0.000 0.000
Er 0.000 2.855 2.855
Er 2.855 0.000 2.855
Er 2.855 2.855 0.000
As 2.855 2.855 2.855
Se 0.000 0.000 2.855
Se 0.000 2.855 0.000
Se 2.855 0.000 0.000
CELL_PARAMETERS angstrom
5.710 0.000 0.000
0.000 5.710 0.000
0.000 0.000 5.710
! Total magnetization: 0.00 μB per atom
! Volume: 186.2 Å³/cell
! Final energy: -5.86 eV/atom
! Symmetry: Pm-3m
! Density: 8.748 g cm⁻³



[10]
! PrDyCo2Ge2C | OQMD via LeMat-Bulk | GGA-PBE | relaxed; values from VASP
&SYSTEM
  ibrav = 0, nat = 7, ntyp = 5
/
ATOMIC_SPECIES
Pr 140.91 Pr.upf
Dy 162.50 Dy.upf
Co 58.93 Co.upf
Ge 72.64 Ge.upf
C 12.01 C.upf
ATOMIC_POSITIONS angstrom
Pr 0.000 0.000 0.000
Dy -1.289 0.000 3.206
Co 3.094 0.000 1.203
Co 6.524 0.000 2.064
Ge 1.730 0.000 3.169
Ge 7.882 0.000 0.044
C 4.794 0.000 1.692
CELL_PARAMETERS angstrom
5.446 -2.000 0.000
5.446 2.000 0.000
-4.370 0.000 5.443
! Total magnetization: 0.00 μB per atom
! Volume: 118.6 Å³/cell
! Final energy: -6.59 eV/atom
! Symmetry: Cm
! Density: 8.103 g cm⁻³



[11]
! Li2LaAgAu | OQMD via LeMat-Bulk | GGA-PBE | relaxed; values from VASP
&SYSTEM
  ibrav = 0, nat = 5, ntyp = 4
/
ATOMIC_SPECIES
Li 6.94 Li.upf
La 138.91 La.upf
Ag 107.87 Ag.upf
Au 196.97 Au.upf
ATOMIC_POSITIONS angstrom
Li 2.032 0.000 0.000
Li 0.000 2.032 0.000
La 0.000 0.000 3.423
Ag 0.000 0.000 8.417
Au 0.000 0.000 11.325
CELL_PARAMETERS angstrom
-2.032 2.032 6.574
2.032 -2.032 6.574
2.032 2.032 -6.574
! Total magnetization: 0.00 μB per atom
! Volume: 108.5 Å³/cell
! Final energy: -3.40 eV/atom
! Symmetry: I4mm
! Density: 7.002 g cm⁻³



[12]
! Pm2ZnSi3 | OQMD via LeMat-Bulk | GGA-PBE | relaxed; values from VASP
&SYSTEM
  ibrav = 0, nat = 12, ntyp = 3
/
ATOMIC_SPECIES
Pm 145.00 Pm.upf
Zn 65.41 Zn.upf
Si 28.09 Si.upf
ATOMIC_POSITIONS angstrom
Pm 4.089 2.047 7.075
Pm 2.044 2.094 3.537
Pm 6.133 6.281 10.612
Pm 4.089 6.327 7.075
Zn 4.089 4.187 4.724
Zn 4.089 4.187 9.426
Si 4.089 4.187 2.360
Si 6.129 4.187 5.898
Si 6.129 4.187 8.252
Si 2.049 4.187 5.898
Si 2.049 4.187 8.252
Si 4.089 4.187 11.790
CELL_PARAMETERS angstrom
0.000 4.187 7.075
4.089 0.000 7.075
4.089 4.187 0.000
! Total magnetization: 0.00 μB per atom
! Volume: 242.2 Å³/cell
! Final energy: -5.18 eV/atom
! Symmetry: Fmmm
! Density: 6.028 g cm⁻³